# AcSm2Tm | Alexandria | GGA-PBE | optimized geometry
# **ΔE_f**: 0.171 eV/atom
# **Density of states at the Fermi level**: 6.22 states/eV/f.u.
# **SG**: R-3m
# **Total moment**: 0.00 μB/f.u.
# **Distance to the lowest polymorph of the same formula**: 0.50 eV/f.u.
data_AcSm2Tm
_cell_length_a 3.608
_cell_length_b 3.608
_cell_length_c 12.945
_cell_angle_alpha 81.99
_cell_angle_beta 81.99
_cell_angle_gamma 60.00
_symmetry_space_group_name_H-M 'P 1'
_symmetry_Int_Tables_number 1
loop_
_symmetry_equiv_pos_as_xyz
'x,y,z'
loop_
_atom_site_label
_atom_site_type_symbol
_atom_site_fract_x
_atom_site_fract_y
_atom_site_fract_z
_atom_site_occupancy
Ac1 Ac 0.000 0.000 0.000 1
Sm1 Sm 0.093 0.093 0.721 1
Sm2 Sm 0.907 0.907 0.279 1
Tm1 Tm 0.500 0.500 0.500 1